Computed, not measured: a relaxed LuZrAg2 crystal at the GGA-PBE level of DFT.

Unit cell a=4.961 b=4.961 c=4.961 alpha=60.00 beta=60.00 gamma=60.00
Atoms (fractional coordinates):
Lu (0.000, 0.000, 0.000)
Zr (0.500, 0.500, 0.500)
Ag (0.250, 0.250, 0.250)
Ag (0.750, 0.750, 0.750)

Summary:
The calculation puts the relative energy among the computed polymorphs at 22 meV per atom. The value obtained for the energy of formation is -0.1084 eV per atom. Its crystal system is cubic.

Computed, not measured: a relaxed In2FeTe crystal at the GGA-PBE level of DFT.

Unit cell a=7.141 b=7.141 c=7.141 alpha=154.27 beta=142.72 gamma=45.85
Atoms (fractional coordinates):
In (0.000, 0.000, 0.000)
In (0.664, 0.164, 0.500)
Fe (0.478, 0.478, 0.000)
Te (0.322, 0.822, 0.500)

Summary:
The calculation puts the uncorrected formation energy at 0.160 eV/atom. Its crystal system is orthorhombic.

Computed, not measured: a relaxed Nb3CuRh crystal at the GGA-PBE level of DFT.

Unit cell a=4.603 b=4.603 c=4.603 alpha=90.00 beta=90.00 gamma=90.00
Atoms (fractional coordinates):
Nb (0.000, 0.000, 0.500)
Nb (0.000, 0.500, 0.000)
Nb (0.500, 0.000, 0.000)
Cu (0.000, 0.000, 0.000)
Rh (0.500, 0.500, 0.500)

Summary:
The calculation puts the relative energy among the computed polymorphs at 0 meV per atom. The value obtained for the energy of formation is 1.1740 eV per atom. Its crystal system is cubic.

Computed, not measured: a relaxed NbSi3I crystal at the GGA-PBE level of DFT.

Unit cell a=5.031 b=5.031 c=5.031 alpha=90.00 beta=90.00 gamma=90.00
Atoms (fractional coordinates):
Nb (0.000, 0.000, 0.000)
Si (0.000, 0.500, 0.500)
Si (0.500, 0.000, 0.500)
Si (0.500, 0.500, 0.000)
I (0.500, 0.500, 0.500)

Summary:
The calculation puts the relative energy among the computed polymorphs at 1360 meV per atom. The calculation puts the uncorrected formation energy at 2.077 eV/atom. Its crystal system is cubic.

Computed, not measured: a relaxed CePa2Zn9 crystal at the GGA-PBE level of DFT.

Unit cell a=9.370 b=9.370 c=9.370 alpha=33.20 beta=33.20 gamma=33.20
Atoms (fractional coordinates):
Ce (0.000, 0.000, 0.000)
Pa (0.150, 0.150, 0.150)
Pa (0.850, 0.850, 0.850)
Zn (0.077, 0.584, 0.584)
Zn (0.336, 0.336, 0.336)
Zn (0.416, 0.416, 0.923)
Zn (0.416, 0.923, 0.416)
Zn (0.500, 0.500, 0.500)
Zn (0.584, 0.077, 0.584)
Zn (0.584, 0.584, 0.077)
Zn (0.664, 0.664, 0.664)
Zn (0.923, 0.416, 0.416)

Summary:
The value obtained for the energy of formation is -0.1461 eV per atom. Its crystal system is trigonal.

Computed, not measured: a relaxed PdPtAu4 crystal at the GGA-PBE level of DFT.

Unit cell a=5.651 b=5.651 c=4.464 alpha=90.00 beta=90.00 gamma=90.11
Atoms (fractional coordinates):
Pd (0.000, 0.000, 0.000)
Pt (0.500, 0.500, 0.500)
Au (0.174, 0.826, 0.500)
Au (0.325, 0.325, 0.000)
Au (0.675, 0.675, 0.000)
Au (0.826, 0.174, 0.500)

Summary:
The calculation puts the relative energy among the computed polymorphs at 557 meV per atom. The value obtained for the energy of formation is 0.5668 eV per atom. Its crystal system is orthorhombic.

Number 1: total magnetization 1.28 μB per cell, VASP energy -4.8013 eV/atom. Number 2: total magnetization 1.89 μB per cell, VASP energy -4.1107 eV/atom. Number 3: total magnetization 0.00 μB per cell, VASP energy -7.1573 eV/atom. Number 4: total magnetization 0.00 μB per cell, VASP energy -3.5005 eV/atom. Number 5: total magnetization 2.15 μB per cell, VASP energy -3.1787 eV/atom. Number 6: total magnetization 0.00 μB per cell, VASP energy -3.4904 eV/atom.